No. 1
Below is crystalline CoSe2Br at its relaxed geometry, with properties calculated at the PBE level.

Its space group is Cmcm. As for the energy above the lowest structure with this stoichiometry: 0.362 eV per atom.

Cell and atoms, written as extended XYZ:
```
8
Lattice="1.684 -12.348 0.000 1.684 12.348 0.000 0.000 0.000 4.546" Properties=species:S:1:pos:R:3 pbc="T T T"
Co 1.684 10.901 3.410
Co 1.684 -10.901 1.137
Se 1.684 11.445 1.137
Se 1.684 8.664 3.410
Se 1.684 -8.664 1.137
Se 1.684 -11.445 3.410
Br 1.684 4.169 3.410
Br 1.684 -4.169 1.137
```

***

No. 2
Below is crystalline ErSnAs2Rh5 at its relaxed geometry, with properties calculated at the PBE level.

For the energy of formation from the pure elements, the calculation gives -15.1 kcal/mol of atoms. Its space group is P4/mmm.

Cell and atoms, written as extended XYZ:
```
9
Lattice="4.137 0.000 0.000 0.000 4.137 0.000 0.000 0.000 8.789" Properties=species:S:1:pos:R:3 pbc="T T T"
Er 0.000 0.000 0.000
Sn 0.000 0.000 4.395
As 2.069 2.069 1.242
As 2.069 2.069 7.548
Rh 0.000 2.069 2.436
Rh 0.000 2.069 6.353
Rh 2.069 0.000 2.436
Rh 2.069 0.000 6.353
Rh 2.069 2.069 4.395
```

***

No. 3
Below is crystalline USbPd6 at its relaxed geometry, with properties calculated at the PBE level.

Its space group is C2/m. As for the energy above the lowest structure with this stoichiometry: 0.139 eV per atom.

Cell and atoms, written as extended XYZ:
```
8
Lattice="3.899 -2.808 0.000 3.899 2.808 0.000 -2.292 0.000 7.007" Properties=species:S:1:pos:R:3 pbc="T T T"
U 0.000 0.000 0.000
Sb 2.753 0.000 3.504
Pd 0.752 1.362 4.926
Pd 2.659 0.000 0.487
Pd 4.753 1.362 2.082
Pd 0.752 -1.362 4.926
Pd 2.846 0.000 6.520
Pd 4.753 -1.362 2.082
```

***

No. 4
Below is crystalline Sm4DyEr6 at its relaxed geometry, with properties calculated at the PBE level.

For the energy of formation from the pure elements, the calculation gives 7.0 kcal/mol of atoms. Its space group is I-42m. As for the energy above the lowest structure with this stoichiometry: 0.000 eV per atom.

Cell and atoms, written as extended XYZ:
```
11
Lattice="-3.295 3.295 8.470 3.295 -3.295 8.470 3.295 3.295 -8.470" Properties=species:S:1:pos:R:3 pbc="T T T"
Sm 2.052 -2.052 5.508
Sm 1.243 1.243 2.962
Sm -2.052 2.052 5.508
Sm 2.052 2.052 11.432
Dy 0.000 0.000 0.000
Er 3.295 0.000 0.000
Er 2.118 2.118 -2.148
Er 1.177 -1.177 10.618
Er 0.000 3.295 0.000
Er 1.177 1.177 6.322
Er -1.177 1.177 10.618
```

***

No. 5
Below is crystalline AsPtRh2 at its relaxed geometry, with properties calculated at the PBE level.

For the energy of formation from the pure elements, the calculation gives -0.5 kcal/mol of atoms. Its space group is Pmm2.

Cell and atoms, written as extended XYZ:
```
4
Lattice="2.830 0.000 0.000 0.000 3.835 0.000 0.000 0.000 5.617" Properties=species:S:1:pos:R:3 pbc="T T T"
As 0.000 0.000 0.000
Pt 1.415 1.917 1.716
Rh 0.000 0.000 3.058
Rh 1.415 1.917 4.478
```

***

No. 6
Below is crystalline Tc2PtW at its relaxed geometry, with properties calculated at the PBE level.

For the energy of formation from the pure elements, the calculation gives -1.6 kcal/mol of atoms. Its space group is I4/mmm. As for the energy above the lowest structure with this stoichiometry: 0.096 eV per atom.

Cell and atoms, written as extended XYZ:
```
4
Lattice="-1.974 1.974 3.880 1.974 -1.974 3.880 1.974 1.974 -3.880" Properties=species:S:1:pos:R:3 pbc="T T T"
Tc 1.974 0.000 1.940
Tc 0.000 1.974 1.940
Pt 0.000 0.000 0.000
W 0.000 0.000 3.880
```

***

No. 7
Below is crystalline MgTaS3 at its relaxed geometry, with properties calculated at the PBE level.

Its space group is Pm-3m. As for the energy above the lowest structure with this stoichiometry: 0.551 eV per atom.

Cell and atoms, written as extended XYZ:
```
5
Lattice="4.801 0.000 0.000 0.000 4.801 0.000 0.000 0.000 4.801" Properties=species:S:1:pos:R:3 pbc="T T T"
Mg 0.000 0.000 0.000
Ta 2.401 2.401 2.401
S 0.000 2.401 2.401
S 2.401 0.000 2.401
S 2.401 2.401 0.000
```

***

No. 8
Below is crystalline PrAlPtN at its relaxed geometry, with properties calculated at the PBE level.

Its space group is P4/nmm.

Cell and atoms, written as extended XYZ:
```
8
Lattice="3.971 0.000 0.000 0.000 3.971 0.000 0.000 0.000 8.864" Properties=species:S:1:pos:R:3 pbc="T T T"
Pr 0.993 0.993 1.269
Pr 2.978 2.978 7.595
Al 0.993 0.993 5.916
Al 2.978 2.978 2.948
Pt 0.993 2.978 4.432
Pt 2.978 0.993 4.432
N 0.993 0.993 7.773
N 2.978 2.978 1.091
```

***

No. 9
Below is crystalline Ac2SnH at its relaxed geometry, with properties calculated at the PBE level.

Its space group is Cmcm. As for the energy above the lowest structure with this stoichiometry: 0.261 eV per atom.

Cell and atoms, written as extended XYZ:
```
8
Lattice="2.141 -7.383 0.000 2.141 7.383 0.000 0.000 0.000 7.298" Properties=species:S:1:pos:R:3 pbc="T T T"
Ac 2.141 5.380 3.671
Ac 2.141 5.380 7.277
Ac 2.141 -5.380 0.021
Ac 2.141 -5.380 3.628
Sn 2.141 0.048 5.474
Sn 2.141 -0.048 1.825
H 2.141 3.444 1.825
H 2.141 -3.444 5.474
```

***

No. 10
Below is crystalline Tb2ZnI2 at its relaxed geometry, with properties calculated at the PBE level.

Its space group is R-3m.

Cell and atoms, written as extended XYZ:
```
5
Lattice="2.036 1.175 12.056 -2.036 1.175 12.056 0.000 -2.351 12.056" Properties=species:S:1:pos:R:3 pbc="T T T"
Tb 0.000 0.000 4.207
Tb 0.000 0.000 31.962
Zn 0.000 0.000 18.085
I 0.000 0.000 9.923
I 0.000 0.000 26.247
```

***

No. 11
Below is crystalline Mg6CdBi at its relaxed geometry, with properties calculated at the PBE level.

For the energy of formation from the pure elements, the calculation gives -1.9 kcal/mol of atoms. Its space group is P4/mmm. As for the energy above the lowest structure with this stoichiometry: 0.000 eV per atom.

Cell and atoms, written as extended XYZ:
```
8
Lattice="4.512 0.000 0.000 0.000 4.512 0.000 0.000 0.000 9.205" Properties=species:S:1:pos:R:3 pbc="T T T"
Mg 0.000 0.000 0.000
Mg 0.000 0.000 4.603
Mg 0.000 2.256 2.170
Mg 0.000 2.256 7.035
Mg 2.256 0.000 2.170
Mg 2.256 0.000 7.035
Cd 2.256 2.256 0.000
Bi 2.256 2.256 4.603
```

***

No. 12
Below is crystalline TlV2Pt at its relaxed geometry, with properties calculated at the PBE level.

For the energy of formation from the pure elements, the calculation gives 10.7 kcal/mol of atoms. Its space group is I-42d. As for the energy above the lowest structure with this stoichiometry: 0.255 eV per atom.

Cell and atoms, written as extended XYZ:
```
8
Lattice="-3.615 3.615 2.776 3.615 -3.615 2.776 3.615 3.615 -2.776" Properties=species:S:1:pos:R:3 pbc="T T T"
Tl 0.000 0.000 0.000
Tl 0.000 3.615 1.388
V 1.808 -1.556 2.082
V 2.059 1.808 0.694
V 1.808 5.171 -0.694
V 1.556 1.808 3.470
Pt 3.615 0.000 1.388
Pt 0.000 0.000 2.776
```

***

No. 13
Below is crystalline PmZn9Au2 at its relaxed geometry, with properties calculated at the PBE level.

For the energy of formation from the pure elements, the calculation gives -6.8 kcal/mol of atoms. Its space group is I4_1/amd. As for the energy above the lowest structure with this stoichiometry: 0.000 eV per atom.

Cell and atoms, written as extended XYZ:
```
24
Lattice="-5.394 5.394 3.469 5.394 -5.394 3.469 5.394 5.394 -3.469" Properties=species:S:1:pos:R:3 pbc="T T T"
Pm 5.394 2.697 0.867
Pm 0.000 2.697 2.602
Zn 5.394 -2.697 2.602
Zn 4.089 -0.456 1.194
Zn 6.699 -0.456 1.194
Zn 2.241 1.392 0.540
Zn 8.548 1.392 0.540
Zn 4.089 4.938 -1.194
Zn 1.305 -0.456 2.275
Zn 2.241 4.002 0.540
Zn 3.153 -1.392 4.009
Zn 2.241 6.787 -0.540
Zn 3.153 1.392 2.929
Zn 4.089 5.850 1.194
Zn 1.305 0.456 4.664
Zn -3.153 4.002 2.929
Zn 3.153 4.002 2.929
Zn -1.305 5.850 2.275
Zn 1.305 5.850 2.275
Zn 0.000 8.092 0.867
Au 0.000 0.000 0.000
Au 2.697 2.697 -1.735
Au 2.697 -2.697 1.735
Au 0.000 5.394 0.000
```

***

No. 14
Below is crystalline CuMoBr6 at its relaxed geometry, with properties calculated at the PBE level.

Its space group is P-1.

Cell and atoms, written as extended XYZ:
```
8
Lattice="6.491 0.000 0.000 -3.244 5.626 0.000 -3.241 -1.879 5.850" Properties=species:S:1:pos:R:3 pbc="T T T"
Cu 0.000 0.000 0.000
Mo -3.243 1.873 2.925
Br -2.230 3.687 1.481
Br -4.306 3.657 4.371
Br -1.166 1.902 4.370
Br 1.172 1.845 1.480
Br 4.312 0.089 1.479
Br 2.236 0.059 4.369
```

***

No. 15
Below is crystalline KMoPb2 at its relaxed geometry, with properties calculated at the PBE level.

For the energy of formation from the pure elements, the calculation gives 19.4 kcal/mol of atoms. Its space group is P4/mmm. As for the energy above the lowest structure with this stoichiometry: 0.483 eV per atom.

Cell and atoms, written as extended XYZ:
```
4
Lattice="5.516 0.000 0.000 0.000 5.516 0.000 0.000 0.000 3.486" Properties=species:S:1:pos:R:3 pbc="T T T"
K 0.000 0.000 0.000
Mo 2.758 2.758 0.000
Pb 0.000 2.758 1.743
Pb 2.758 0.000 1.743
```

***

No. 16
Below is crystalline InSbBr4 at its relaxed geometry, with properties calculated at the PBE level.

Its space group is C2/m. As for the energy above the lowest structure with this stoichiometry: 0.028 eV per atom.

Cell and atoms, written as extended XYZ:
```
12
Lattice="9.738 -2.878 0.000 9.738 2.878 0.000 -2.586 0.000 9.686" Properties=species:S:1:pos:R:3 pbc="T T T"
In 3.288 0.000 2.697
In 13.601 0.000 6.989
Sb 0.175 0.000 6.450
Sb 16.715 0.000 3.236
Br -0.024 0.000 3.233
Br 0.394 0.000 9.033
Br 3.055 0.000 6.027
Br 6.707 0.000 3.444
Br 10.182 0.000 6.242
Br 13.834 0.000 3.659
Br 16.496 0.000 0.653
Br 16.913 0.000 6.453
```

***

No. 17
Below is crystalline NdHoCdGa at its relaxed geometry, with properties calculated at the PBE level.

For the energy of formation from the pure elements, the calculation gives -10.4 kcal/mol of atoms. Its space group is P4mm. As for the energy above the lowest structure with this stoichiometry: 0.000 eV per atom.

Cell and atoms, written as extended XYZ:
```
4
Lattice="3.656 0.000 0.000 0.000 3.656 0.000 0.000 0.000 7.629" Properties=species:S:1:pos:R:3 pbc="T T T"
Nd 0.000 0.000 0.000
Ho 0.000 0.000 3.565
Cd 1.828 1.828 5.465
Ga 1.828 1.828 1.888
```

***

No. 18
Below is crystalline Cr2NiAsH at its relaxed geometry, with properties calculated at the PBE level.

Its space group is P4/mmm.

Cell and atoms, written as extended XYZ:
```
5
Lattice="3.785 0.000 0.000 0.000 3.785 0.000 0.000 0.000 3.638" Properties=species:S:1:pos:R:3 pbc="T T T"
Cr 0.000 1.893 0.000
Cr 1.893 0.000 0.000
Ni 0.000 0.000 1.819
As 1.893 1.893 1.819
H 0.000 0.000 0.000
```

***

No. 19
Below is crystalline Ho4Tl3Sn at its relaxed geometry, with properties calculated at the PBE level.

For the energy of formation from the pure elements, the calculation gives -9.0 kcal/mol of atoms. Its space group is Pmma.

Cell and atoms, written as extended XYZ:
```
16
Lattice="10.830 0.000 0.000 0.000 7.274 0.000 0.000 0.000 5.448" Properties=species:S:1:pos:R:3 pbc="T T T"
Ho 0.000 1.811 0.000
Ho 0.000 5.463 0.000
Ho 2.708 1.811 2.507
Ho 2.708 5.464 2.507
Ho 5.415 1.811 0.000
Ho 5.415 5.463 0.000
Ho 8.123 1.811 2.941
Ho 8.123 5.464 2.941
Tl 0.000 3.637 2.724
Tl 2.708 0.000 5.215
Tl 2.708 3.637 5.209
Tl 5.415 3.637 2.724
Tl 8.123 0.000 0.233
Tl 8.123 3.637 0.239
Sn 0.000 0.000 2.724
Sn 5.415 0.000 2.724
```

***

No. 20
Below is crystalline PmDy4Pd4 at its relaxed geometry, with properties calculated at the PBE level.

For the energy of formation from the pure elements, the calculation gives -15.3 kcal/mol of atoms. Its space group is P4_2/n.

Cell and atoms, written as extended XYZ:
```
18
Lattice="9.051 0.000 0.000 0.000 9.051 0.000 0.000 0.000 5.785" Properties=species:S:1:pos:R:3 pbc="T T T"
Pm 2.263 2.263 1.446
Pm 6.788 6.788 4.339
Dy 0.676 5.928 0.946
Dy 1.403 8.375 3.838
Dy 3.122 5.202 3.838
Dy 3.849 7.648 0.946
Dy 5.202 1.403 4.839
Dy 5.928 3.849 1.946
Dy 7.648 0.676 1.946
Dy 8.375 3.122 4.839
Pd 0.338 5.641 3.819
Pd 1.116 8.712 0.926
Pd 3.410 4.864 0.926
Pd 4.187 7.935 3.819
Pd 4.864 1.116 1.966
Pd 5.641 4.187 4.859
Pd 7.935 0.338 4.859
Pd 8.712 3.410 1.966
```

***

| no. | magnetic moment (μB/cell) | raw total energy (Ry/atom) |
| --- | --- | --- |
| 1 | 1.612 | -0.2779 |
| 2 | 0.000 | -0.4943 |
| 3 | 1.209 | -0.4507 |
| 4 | 0.000 | -0.3175 |
| 5 | 0.001 | -0.4680 |
| 6 | 0.000 | -0.7350 |
| 7 | 0.000 | -0.4186 |
| 8 | 0.000 | -0.5052 |
| 9 | 0.000 | -0.3104 |
| 10 | 0.000 | -0.2624 |
| 11 | 0.000 | -0.1379 |
| 12 | 0.000 | -0.4556 |
| 13 | 0.000 | -0.1611 |
| 14 | 0.992 | -0.2560 |
| 15 | 2.408 | -0.2937 |
| 16 | 0.000 | -0.2099 |
| 17 | 0.000 | -0.2772 |
| 18 | 3.674 | -0.4862 |
| 19 | 0.000 | -0.2989 |
| 20 | 0.000 | -0.4074 |